Nd8Os3AuBr4: relaxed, GGA-PBE.

a = 8.3695 Å, b = 9.1905 Å, c = 8.3678 Å
α = 117.11°, β = 120.01°, γ = 90.00°
Closest atoms and distances in Å follow each position.
Sites, in units of the cell vectors:
Br (0.0000, 0.0000, 0.5000)  6 Nd 3.37-3.44
Br (0.5000, 0.0000, 0.5000)  6 Nd 3.37-3.44
Br (0.5000, 0.0000, 0.0000)  6 Nd 3.28
Br (0.0000, 0.0000, 0.0000)  6 Nd 3.37-3.44
Nd (0.2424, 0.6971, 0.9551)  2 Os 2.81, 1 Au 2.99
Nd (0.2669, 0.3010, 0.5337)  3 Os 2.87
Nd (0.7126, 0.6971, 0.9551)  2 Os 2.81, 1 Au 2.99
Nd (0.2424, 0.6971, 0.4848)  2 Os 2.81, 1 Au 2.99
Nd (0.7331, 0.6990, 0.4663)  3 Os 2.87
Nd (0.7576, 0.3029, 0.5152)  2 Os 2.81, 1 Au 2.99
Nd (0.2874, 0.3029, 0.0449)  2 Os 2.81, 1 Au 2.99
Nd (0.7576, 0.3029, 0.0449)  2 Os 2.81, 1 Au 2.99
Os (0.5000, 0.5000, 0.5000)  6 Nd 2.81-2.87
Os (0.0000, 0.5000, 0.5000)  6 Nd 2.81-2.87
Os (0.5000, 0.5000, 0.0000)  6 Nd 2.81-2.87
Au (0.0000, 0.5000, 0.0000)  6 Nd 2.99

Properties
theoretical density	7.9	Mg/m³
uncorrected formation energy	-0.77	eV per atom

MnFeTe2: relaxed, GGA-PBE.

a = 4.8917 Å, b = 4.8917 Å, c = 4.8917 Å
α = 60.00°, β = 60.00°, γ = 60.00°
Closest atoms and distances in Å follow each position.
Sites, in units of the cell vectors:
Mn (0.2500, 0.2500, 0.2500)  4 Te 3.00, 4 Fe 3.00
Fe (0.5000, 0.5000, 0.5000)  4 Mn 3.00, 4 Te 3.00
Te (0.0000, 0.0000, 0.0000)  4 Te 3.00, 4 Mn 3.00
Te (0.7500, 0.7500, 0.7500)  4 Fe 3.00, 4 Te 3.00

Properties
theoretical density	7.3	Mg/m³
uncorrected formation energy	0.75	eV per atom

MgCo2Si: relaxed, GGA-PBE.

a = 2.9781 Å, b = 2.9781 Å, c = 5.9190 Å
α = 90.00°, β = 90.00°, γ = 90.00°
Closest atoms and distances in Å follow each position.
Sites, in units of the cell vectors:
Co (0.5000, 0.5000, 0.2206)  1 Si 2.44, 4 Co 2.53, 4 Mg 2.63
Co (0.0000, 0.0000, 0.9835)  4 Si 2.35, 4 Co 2.53
Si (0.5000, 0.5000, 0.8083)  5 Co 2.35-2.44
Mg (0.0000, 0.0000, 0.4875)  5 Co 2.63-2.94, 4 Si 2.84

Properties
theoretical density	5.4	Mg/m³
uncorrected formation energy	-0.03	eV per atom

BaLiNdTl: relaxed, GGA-PBE.

a = 5.7538 Å, b = 5.7538 Å, c = 5.7538 Å
α = 60.00°, β = 60.00°, γ = 60.00°
Closest atoms and distances in Å follow each position.
Sites, in units of the cell vectors:
Tl (0.2500, 0.2500, 0.2500)  4 Ba 3.52, 4 Nd 3.52
Ba (0.0000, 0.0000, 0.0000)  4 Tl 3.52, 4 Li 3.52
Nd (0.5000, 0.5000, 0.5000)  4 Tl 3.52, 4 Li 3.52
Li (0.7500, 0.7500, 0.7500)  4 Nd 3.52, 4 Ba 3.52

Properties
E_form	-0.11	eV per atom
theoretical density	6.1	Mg/m³

NaMgIn3: relaxed, GGA-PBE.

a = 5.5520 Å, b = 4.5579 Å, c = 5.9562 Å
α = 112.50°, β = 80.66°, γ = 114.69°
Closest atoms and distances in Å follow each position.
Sites, in units of the cell vectors:
In (0.4992, 0.7462, 0.6131)  6 In 3.17-3.43, 3 Na 3.23-3.26, 3 Mg 3.27-3.45
In (0.2870, 0.3504, 0.0354)  3 Mg 3.17-3.22, 3 Na 3.23-3.29, 6 In 3.26-3.53
In (0.0921, 0.9440, 0.4195)  3 Mg 3.16-3.30, 6 In 3.17-3.53, 3 Na 3.31-3.44
Na (0.8958, 0.5475, 0.8205)  9 In 3.23-3.44, 3 Mg 3.33-3.50
Mg (0.6798, 0.1369, 0.2168)  9 In 3.16-3.45, 3 Na 3.33-3.50

Properties
E_form	-0.07	eV per atom
theoretical density	5.1	Mg/m³
relative energy among the computed polymorphs	0.000	eV/atom

ErTlIn2: relaxed, GGA-PBE.

a = 6.4796 Å, b = 6.5291 Å, c = 6.5291 Å
α = 78.22°, β = 60.25°, γ = 60.25°
Closest atoms and distances in Å follow each position.
Sites, in units of the cell vectors:
Er (0.7500, 0.8064, 0.6936)  3 Tl 3.24-3.28, 8 In 3.28-3.37
Er (0.2500, 0.1936, 0.3064)  3 Tl 3.24-3.28, 8 In 3.28-3.37
In (0.6964, 0.3036, 0.8036)  3 In 3.06-3.24, 4 Er 3.28-3.37, 4 Tl 3.30-3.33
In (0.3036, 0.6964, 0.1964)  3 In 3.06-3.24, 4 Er 3.28-3.37, 4 Tl 3.30-3.33
In (0.1964, 0.3036, 0.8036)  3 In 3.06-3.24, 4 Er 3.28-3.37, 4 Tl 3.30-3.33
In (0.8036, 0.6964, 0.1964)  3 In 3.06-3.24, 4 Er 3.28-3.37, 4 Tl 3.30-3.33
Tl (0.2500, 0.7954, 0.7046)  3 Er 3.24-3.28, 8 In 3.30-3.33
Tl (0.7500, 0.2046, 0.2954)  3 Er 3.24-3.28, 8 In 3.30-3.33

Properties
E_form	-0.27	eV per atom
theoretical density	9.6	Mg/m³
relative energy among the computed polymorphs	0.041	eV/atom

ScTaSiPt2: relaxed, GGA-PBE.

a = 4.8684 Å, b = 4.7801 Å, c = 4.8684 Å
α = 90.00°, β = 90.00°, γ = 90.00°
Closest atoms and distances in Å follow each position.
Sites, in units of the cell vectors:
Sc (0.5000, 0.5000, 0.5000)  8 Pt 3.41, 4 Si 3.44
Si (0.0000, 0.5000, 0.0000)  2 Ta 2.39
Ta (0.0000, 0.0000, 0.0000)  2 Si 2.39, 4 Pt 2.43
Pt (0.0000, 0.0000, 0.5000)  2 Ta 2.43
Pt (0.5000, 0.0000, 0.0000)  2 Ta 2.43

Properties
theoretical density	9.4	Mg/m³
uncorrected formation energy	0.31	eV per atom

Cs2HoTh2Te6: relaxed, GGA-PBE.

a = 7.7445 Å, b = 7.7445 Å, c = 9.6336 Å
α = 97.83°, β = 97.83°, γ = 119.88°
Closest atoms and distances in Å follow each position.
Sites, in units of the cell vectors:
Te (0.0681, 0.3938, 0.6942)  1 Ho 3.11, 2 Th 3.16-3.18
Te (0.3938, 0.0681, 0.6942)  1 Ho 3.11, 2 Th 3.16-3.18
Te (0.7361, 0.7361, 0.6936)  1 Ho 3.12, 2 Th 3.16
Te (0.6062, 0.9319, 0.3058)  1 Ho 3.11, 2 Th 3.16-3.18
Te (0.2639, 0.2639, 0.3064)  1 Ho 3.12, 2 Th 3.16
Te (0.9319, 0.6062, 0.3058)  1 Ho 3.11, 2 Th 3.16-3.18
Cs (0.1682, 0.8318, 0.0000)  6 Te 3.83-3.85
Cs (0.8318, 0.1682, 0.0000)  6 Te 3.83-3.85
Ho (0.0000, 0.0000, 0.5000)  6 Te 3.11-3.12
Th (0.3329, 0.6671, 0.5000)  6 Te 3.16-3.18
Th (0.6671, 0.3329, 0.5000)  6 Te 3.16-3.18

Properties
theoretical density	5.7	Mg/m³
uncorrected formation energy	-1.28	eV per atom

AgSnHgS2: relaxed, GGA-PBE.

a = 4.9173 Å, b = 5.3122 Å, c = 4.9173 Å
α = 90.00°, β = 90.00°, γ = 90.00°
Closest atoms and distances in Å follow each position.
Sites, in units of the cell vectors:
Sn (0.5000, 0.5000, 0.5000)  4 Hg 3.48, 8 S 3.62
S (0.0000, 0.0000, 0.5000)  2 Ag 2.46
S (0.5000, 0.0000, 0.0000)  2 Ag 2.46
Ag (0.0000, 0.0000, 0.0000)  4 S 2.46, 2 Hg 2.66
Hg (0.0000, 0.5000, 0.0000)  2 Ag 2.66

Properties
theoretical density	6.4	Mg/m³
uncorrected formation energy	0.37	eV per atom

Th2Zn5Co5: relaxed, GGA-PBE.

a = 4.1321 Å, b = 5.1406 Å, c = 8.7967 Å
α = 90.00°, β = 90.00°, γ = 90.00°
Closest atoms and distances in Å follow each position.
Sites, in units of the cell vectors:
Zn (0.5000, 0.5000, 0.5000)  4 Co 2.53, 4 Zn 2.59
Zn (0.5000, 0.7526, 0.2458)  5 Co 2.51-2.57, 3 Zn 2.54-2.60
Zn (0.5000, 0.7526, 0.7542)  5 Co 2.51-2.57, 3 Zn 2.54-2.60
Zn (0.5000, 0.2474, 0.2458)  5 Co 2.51-2.57, 3 Zn 2.54-2.60
Zn (0.5000, 0.2474, 0.7542)  5 Co 2.51-2.57, 3 Zn 2.54-2.60
Co (0.0000, 0.5000, 0.3339)  6 Zn 2.53-2.56
Co (0.0000, 0.0000, 0.8508)  3 Co 2.45-2.63, 4 Zn 2.57
Co (0.5000, 0.0000, 0.0000)  4 Co 2.45, 4 Zn 2.51
Co (0.0000, 0.0000, 0.1492)  3 Co 2.45-2.63, 4 Zn 2.57
Co (0.0000, 0.5000, 0.6661)  6 Zn 2.53-2.56
Th (0.0000, 0.5000, 0.0000)  6 Co 2.89-2.94
Th (0.0000, 0.0000, 0.5000)  6 Co 2.96-3.09, 12 Zn 3.30

Properties
E_form	-0.21	eV per atom
theoretical density	9.6	Mg/m³

Ce2PaCoN5: relaxed, GGA-PBE.

a = 3.5514 Å, b = 6.6842 Å, c = 10.6034 Å
α = 90.00°, β = 90.00°, γ = 105.41°
Closest atoms and distances in Å follow each position.
Sites, in units of the cell vectors:
Ce (0.9020, 0.8039, 0.1872)  4 N 2.32-2.47
Ce (0.8570, 0.7141, 0.8349)  8 N 2.46-2.72
Ce (0.0980, 0.1961, 0.6872)  4 N 2.32-2.47
Ce (0.1430, 0.2859, 0.3349)  8 N 2.46-2.72
N (0.4822, 0.9645, 0.7662)  1 Co 1.91
N (0.3301, 0.6602, 0.3928)  1 Co 2.12, 2 Pa 2.30
N (0.6432, 0.2864, 0.4957)  1 Co 2.06, 1 Pa 2.24
N (0.3568, 0.7136, 0.9957)  1 Co 2.06, 1 Pa 2.24
N (0.5178, 0.0355, 0.2662)  1 Co 1.91
N (0.2776, 0.5553, 0.6669)  1 Ce 2.32, 2 Pa 2.34
N (0.9889, 0.9777, 0.5072)  2 Co 1.90
N (0.0111, 0.0223, 0.0072)  2 Co 1.90
N (0.7224, 0.4447, 0.1669)  1 Ce 2.32, 2 Pa 2.34
N (0.6699, 0.3398, 0.8928)  1 Co 2.12, 2 Pa 2.30
Co (0.5106, 0.0212, 0.9432)  5 N 1.90-2.12
Co (0.4894, 0.9788, 0.4432)  5 N 1.90-2.12
Pa (0.8147, 0.6294, 0.5298)  6 N 2.24-2.34
Pa (0.1853, 0.3706, 0.0298)  6 N 2.24-2.34

Properties
theoretical density	8.8	Mg/m³
uncorrected formation energy	-1.08	eV per atom

TaFeMo2: relaxed, GGA-PBE.

a = 9.3571 Å, b = 9.3571 Å, c = 9.3571 Å
α = 17.15°, β = 17.15°, γ = 17.15°
Closest atoms and distances in Å follow each position.
Sites, in units of the cell vectors:
Ta (0.2500, 0.2500, 0.2500)  6 Ta 2.79, 6 Mo 3.01
Fe (0.7500, 0.7500, 0.7500)  6 Mo 2.62, 6 Fe 2.79
Mo (0.4915, 0.4915, 0.4915)  3 Fe 2.62, 6 Mo 2.79
Mo (0.0085, 0.0085, 0.0085)  3 Fe 2.62, 6 Mo 2.79

Properties
E_form	0.33	eV per atom
theoretical density	11.5	Mg/m³
relative energy among the computed polymorphs	0.363	eV/atom